Entry 1:
DFT (GGA-PBE) results for ThGaPb2 after structural relaxation.

Properties
DFT formation energy ... -0.2754 eV per atom
Fermi-level density of states ... 2.35 states/eV/f.u.

Cell: 4.689 4.689 4.915 Å, 90.00 90.00 90.00°
Space group P4/mmm (No. 123)
One atom of each set of equivalent atoms:
Th: 0.000 0.000 0.000
Ga: 0.500 0.500 0.000
Pb: 0.000 0.500 0.500

Entry 2:
DFT (GGA-PBE) results for ThGa4Pb after structural relaxation.

Properties
DFT formation energy ... -0.1767 eV per atom
Fermi-level density of states ... 4.74 states/eV/f.u.

Cell: 8.058 8.058 8.058 Å, 90.00 90.00 90.00°
Space group F-43m (No. 216)
One atom of each set of equivalent atoms:
Th: 0.000 0.000 0.000
Ga: 0.125 0.125 0.375
Pb: 0.250 0.250 0.750

Entry 3:
DFT (GGA-PBE) results for TiGaPb3 after structural relaxation.

Properties
DFT formation energy ... 0.8628 eV per atom
Fermi-level density of states ... 10.08 states/eV/f.u.

Cell: 5.397 5.397 5.397 Å, 90.00 90.00 90.00°
Space group Pm-3m (No. 221)
One atom of each set of equivalent atoms:
Ti: 0.000 0.000 0.000
Ga: 0.500 0.500 0.500
Pb: 0.000 0.500 0.500